This record from Alexandria describes YMo5 after structural relaxation. The functional is GGA-PBE.

For the energy above the most stable polymorph in this dataset, the calculation gives 0.194 eV/f.u. The value obtained for the total magnetic moment is 0.0 Bohr magnetons per cell. The value obtained for the total DFT energy (no corrections) is -9.869 eV per atom.

The space group is Cmmm (No. 65) and the conventional cell measures 3.2273, 13.7486 and 4.6771 Å, with angles of 90.00, 90.00 and 90.00 degrees. The asymmetric unit holds Y at (0.0000, 0.0000, 0.0000), Mo at (0.0000, 0.1676, 0.5000), Mo at (0.0000, 0.3225, 0.0000) and Mo at (0.0000, 0.5000, 0.5000).